A plane-wave DFT calculation with PBE-GGA was carried out for a relaxed structure of VSn2SbOs.

The space group is P4/mmm (No. 123) and the conventional cell measures 5.5013, 5.5013 and 4.8268 Å, with angles of 90.00, 90.00 and 90.00 degrees. The inequivalent atoms are V at (0.0000, 0.0000, 0.0000), Sn at (0.0000, 0.5000, 0.5000), Sb at (0.0000, 0.0000, 0.5000) and Os at (0.5000, 0.5000, 0.0000).

The total moment is 2.21 μB per formula unit. For the energy relative to the elements, uncorrected, the calculation gives 2.026 eV/atom. Its total energy is -22.35 eV per cell. As for the density of states at the Fermi level: 7.6 states/eV/cell.